Here is a geometry-optimized TlNiF2 structure from Alexandria via LeMat-Bulk. Energies are from PBE with a Hubbard U.

Cell lengths 3.2030, 3.2030, 24.7633 Å; angles 90.00, 90.00, 120.00 degrees
Space group R-3m (No. 166, hexagonal axes)
Symmetry-distinct sites (fractional):
Tl 0.0000 0.0000 0.0000 x3
Ni 0.0000 0.0000 0.5000 x3
F 0.0000 0.0000 0.1282 x6

## Properties
relative energy among the computed polymorphs: 0.000 eV per formula unit
volume: 220 Å³ per cell
magnetic moment: 5.61 μB per cell

Here is a geometry-optimized Tl2Ni2F5 structure from Alexandria via LeMat-Bulk. Energies are from PBE with a Hubbard U.

Cell lengths 4.0718, 4.0718, 8.6530 Å; angles 90.00, 90.00, 90.00 degrees
Space group P4/mmm (No. 123)
Symmetry-distinct sites (fractional):
Tl 0.0000 0.0000 0.0000 x1
Tl 0.0000 0.0000 0.5000 x1
Ni 0.5000 0.5000 0.2449 x2
F 0.0000 0.5000 0.2592 x4
F 0.5000 0.5000 0.0000 x1

## Properties
total DFT energy (no corrections): -3.8408 eV per atom
volume: 143 Å³ per cell
magnetic moment: 3.01 μB per cell